ZrMnN2O (PBE+U, relaxed); total energy = -8.02 eV/atom; crystal system = tetragonal
1.0
3.805 0.000 0.000
0.000 3.805 0.000
0.000 0.000 3.630
Zr Mn N O
1 1 2 1
Cartesian
0.000 0.000 0.000
1.902 1.902 1.815
0.000 1.902 1.815
1.902 0.000 1.815
1.902 1.902 0.000